[1]
DFT (GGA-PBE) results for a relaxed RuICl3 crystal.

CIF file:
```
data_RuICl3
_chemical_formula_sum 'Ru2 I2 Cl6'
_cell_length_a 6.7812
_cell_length_b 6.1278
_cell_length_c 8.5742
_cell_angle_alpha 76.81
_cell_angle_beta 73.82
_cell_angle_gamma 109.07
_space_group_name_H-M_alt 'P 1'
_space_group_IT_number 1
_space_group_name_Hall 'P 1'
loop_
_atom_site_label
_atom_site_fract_x
_atom_site_fract_y
_atom_site_fract_z
_atom_site_occupancy
Ru1 0.7994 0.0976 0.3674 1
I1 0.4398 0.7336 0.6040 1
Cl1 0.6115 0.3602 0.3392 1
Cl2 0.7116 0.9603 0.1389 1
Cl3 0.0117 0.8568 0.3470 1
Cl4 0.9277 0.2251 0.5628 1
I2 0.8048 0.5986 0.8740 1
Cl5 0.2514 0.0488 0.9153 1
Cl6 0.1196 0.4647 0.1311 1
Ru2 0.9278 0.7260 0.1107 1
```

* polymorph energy (0 for the lowest one): 0 meV/atom
* energy: -3.616 eV/atom
* total magnetic moment: 2.0 μB/f.u.
* DOS(E_F): 4.1 states/eV/f.u.
* formation energy without anion corrections: -343 meV/atom

---

[2]
DFT (GGA-PBE) results for a relaxed CeSm2CuS5 crystal.

CIF file:
```
data_CeSm2CuS5
_chemical_formula_sum 'Ce2 Sm4 Cu2 S10'
_cell_length_a 3.8863
_cell_length_b 8.5161
_cell_length_c 11.9720
_cell_angle_alpha 90.00
_cell_angle_beta 90.00
_cell_angle_gamma 103.19
_space_group_name_H-M_alt 'P 1'
_space_group_IT_number 1
_space_group_name_Hall 'P 1'
loop_
_atom_site_label
_atom_site_fract_x
_atom_site_fract_y
_atom_site_fract_z
_atom_site_occupancy
S1 0.5093 0.0185 0.2475 1
Ce1 0.8227 0.6455 0.5291 1
Cu1 0.5467 0.0935 0.9204 1
Cu2 0.4533 0.9065 0.4204 1
S2 0.0122 0.0244 0.0119 1
S3 0.9878 0.9756 0.5119 1
Sm1 0.1159 0.2319 0.3491 1
Sm2 0.8868 0.7736 0.1913 1
S4 0.6552 0.3103 0.5202 1
S5 0.2988 0.5975 0.6964 1
S6 0.7012 0.4025 0.1964 1
S7 0.3448 0.6897 0.0202 1
S8 0.3194 0.6388 0.3582 1
Sm3 0.1132 0.2264 0.6913 1
Sm4 0.8841 0.7681 0.8491 1
Ce2 0.1773 0.3545 0.0291 1
S9 0.6806 0.3612 0.8582 1
S10 0.4907 0.9815 0.7475 1
```

* energy: -6.163 eV/atom
* total magnetic moment: 0.7 μB/f.u.
* DOS(E_F): 5.6 states/eV/f.u.
* formation energy without anion corrections: -1707 meV/atom

---

[3]
DFT (GGA-PBE) results for a relaxed LaAsAu3 crystal.

CIF file:
```
data_LaAsAu3
_chemical_formula_sum 'La1 As1 Au3'
_cell_length_a 5.0047
_cell_length_b 5.0047
_cell_length_c 5.0047
_cell_angle_alpha 90.00
_cell_angle_beta 90.00
_cell_angle_gamma 90.00
_space_group_name_H-M_alt 'P 1'
_space_group_IT_number 1
_space_group_name_Hall 'P 1'
loop_
_atom_site_label
_atom_site_fract_x
_atom_site_fract_y
_atom_site_fract_z
_atom_site_occupancy
Au1 0.0000 0.5000 0.0000 1
Au2 0.0000 0.0000 0.5000 1
Au3 0.5000 0.0000 0.0000 1
La1 0.5000 0.5000 0.5000 1
As1 0.0000 0.0000 0.0000 1
```

* calculated formation energy: -0.219 eV/atom
* polymorph energy (0 for the lowest one): 0 meV/atom
* energy: -4.101 eV/atom
* total magnetic moment: 0.0 μB/f.u.
* DOS(E_F): 5.3 states/eV/f.u.

---

> What is the total magnetic moment in the second record?

0.7 μB/f.u.